Entry from Alexandria via LeMat-Bulk: crystalline BaCoIrO6 at its relaxed geometry (GGA+U).

POSCAR file:
```
BaCoIrO6
1.0
5.149 0.000 0.000
-2.575 4.459 0.000
0.000 0.000 5.694
Ba Co Ir O
1 1 1 6
Direct
0.000 0.000 0.000 Ba
0.333 0.667 0.500 Co
0.667 0.333 0.500 Ir
0.007 0.402 0.689 O
0.007 0.605 0.311 O
0.395 0.402 0.311 O
0.395 0.993 0.689 O
0.598 0.605 0.689 O
0.598 0.993 0.311 O
```

Calculated values
The value obtained for the total energy is -6.31 eV per atom.